A plane-wave DFT calculation with PBE was carried out for Dy2Er3In7 after structural relaxation.

Results
**Total DFT energy (no corrections)**: -3.7197 eV per atom
**DFT formation energy**: -248 kJ/mol of formula units

a = 4.580 Å, b = 4.809 Å, c = 15.460 Å
α = 98.95°, β = 90.00°, γ = 90.00°
Last column: magnetic moment on the atom in μB.
Fractional coordinates of all 12 atoms:
Dy1 0.000 0.840 0.680  0.16
Dy2 0.000 0.160 0.320  0.16
Er1 0.500 0.500 0.000  0.00
Er2 0.500 0.646 0.291  0.16
Er3 0.500 0.354 0.709  0.16
In1 0.000 0.424 0.847  0.00
In2 0.000 0.725 0.451  0.00
In3 0.000 0.000 0.000  0.00
In4 0.000 0.576 0.153  0.00
In5 0.500 0.077 0.155  0.00
In6 0.500 0.923 0.845  0.00
In7 0.000 0.275 0.549  0.00